An optimized crystal structure of NaNdEuWO6. Source: the Alexandria database, functional GGA+U. Values from VASP.

Structure (Quantum ESPRESSO input):
```
&SYSTEM
  ibrav = 0, nat = 10, ntyp = 5
/
ATOMIC_SPECIES
Na 22.99 Na.upf
Nd 144.24 Nd.upf
Eu 151.96 Eu.upf
W 183.84 W.upf
O 16.00 O.upf
ATOMIC_POSITIONS angstrom
Na 0.000 0.000 0.000
Nd 2.128 2.128 2.128
Eu 4.256 4.256 4.256
W 6.384 6.384 6.384
O 6.384 6.384 4.436
O 6.384 4.436 6.384
O 8.333 6.384 6.384
O 4.436 6.384 6.384
O 6.384 8.333 6.384
O 6.384 6.384 8.333
CELL_PARAMETERS angstrom
0.000 4.256 4.256
4.256 0.000 4.256
4.256 4.256 0.000
```

Summary:
- Energy: -7.8161 eV/atom